The following is a DFT calculation (PBE) of an optimized crystal structure of MnCu.

Summary:
SG: R-3m, No. 166
DOS(E_F): 1.88 states/eV/cell
density: 8.04 g/cm³
E_tot: -12.74 eV for the cell shown
M_tot: 2.67 μB/f.u.
formation energy: 0.263 eV per atom

abc: 4.5533 4.5533 4.5533
angles: 32.67 32.67 32.67
Last column: nearest neighbours and their distance in Å.
Sites, in units of the cell vectors:
Mn: 0.0000 0.0000 0.0000  6 Mn 2.56, 6 Cu 2.61
Cu: 0.5000 0.5000 0.5000  6 Cu 2.56, 6 Mn 2.61